# InOsRu2 (meta-GGA SCAN, PBEsol geometry)
# **Total magnetic moment**: 0.000 μB/f.u.
# **Energy relative to the elements**: 0.29 eV per atom
# **Uncorrected energy**: -173.77 eV per formula unit
data_InOsRu2
_space_group_name_H-M_alt 'P 4 m m'
_space_group_IT_number 99
_cell_length_a 2.794
_cell_length_b 2.794
_cell_length_c 7.647
_cell_angle_alpha 90.00
_cell_angle_beta 90.00
_cell_angle_gamma 90.00
loop_
_space_group_symop_operation_xyz
'x,y,z'
'-y,x,z'
'-x,-y,z'
'y,-x,z'
'-x,y,z'
'y,x,z'
'x,-y,z'
'-y,-x,z'
loop_
_atom_site_label
_atom_site_fract_x
_atom_site_fract_y
_atom_site_fract_z
_atom_site_occupancy
In1 0.000 0.000 0.000 1
Os1 0.500 0.500 0.277 1
Ru1 0.000 0.000 0.504 1
Ru2 0.500 0.500 0.734 1


# InOsRu2 (meta-GGA SCAN, PBEsol geometry)
# **Total magnetic moment**: 0.000 μB/f.u.
# **Energy relative to the elements**: 0.39 eV per atom
# **Uncorrected energy**: -173.36 eV per formula unit
data_InOsRu2
_space_group_name_H-M_alt 'I -4 m 2'
_space_group_IT_number 119
_space_group_name_Hall 'I -4 -2'
_cell_length_a 3.822
_cell_length_b 3.822
_cell_length_c 8.118
_cell_angle_alpha 90.00
_cell_angle_beta 90.00
_cell_angle_gamma 90.00
loop_
_atom_site_label
_atom_site_fract_x
_atom_site_fract_y
_atom_site_fract_z
_atom_site_occupancy
In1 0.000 0.000 0.000 1
Os1 0.000 0.500 0.250 1
Ru1 0.000 0.000 0.500 1
Ru2 0.000 0.500 0.750 1


# InOsRu2 (meta-GGA SCAN, PBEsol geometry)
# **Total magnetic moment**: 1.532 μB/f.u.
# **Energy relative to the elements**: 0.44 eV per atom
# **Uncorrected energy**: -173.17 eV per formula unit
data_InOsRu2
_space_group_name_H-M_alt 'P 4/m m m'
_space_group_IT_number 123
_space_group_name_Hall '-P 4 2'
_cell_length_a 4.528
_cell_length_b 4.528
_cell_length_c 2.918
_cell_angle_alpha 90.00
_cell_angle_beta 90.00
_cell_angle_gamma 90.00
loop_
_atom_site_label
_atom_site_fract_x
_atom_site_fract_y
_atom_site_fract_z
_atom_site_occupancy
In1 0.000 0.000 0.000 1
Os1 0.500 0.500 0.000 1
Ru1 0.000 0.500 0.500 1


# In2SbOs (meta-GGA SCAN, PBEsol geometry)
# **Formation energy from raw total energies**: 0.567 eV per atom
# **Total magnetic moment**: 0.000 μB/f.u.
# **Uncorrected energy**: -173.65 eV per formula unit
data_In2SbOs
_space_group_name_H-M_alt 'C 1 2/m 1'
_space_group_IT_number 12
_cell_length_a 9.658
_cell_length_b 3.383
_cell_length_c 4.981
_cell_angle_alpha 90.00
_cell_angle_beta 99.64
_cell_angle_gamma 90.00
loop_
_space_group_symop_operation_xyz
'x,y,z'
'-x,-y,-z'
'-x,y,-z'
'x,-y,z'
'x+1/2,y+1/2,z'
'-x+1/2,-y+1/2,-z'
'-x+1/2,y+1/2,-z'
'x+1/2,-y+1/2,z'
loop_
_atom_site_label
_atom_site_fract_x
_atom_site_fract_y
_atom_site_fract_z
_atom_site_occupancy
In1 0.233 0.000 0.222 1
Sb1 0.000 0.000 0.500 1
Os1 0.000 0.500 0.000 1


# InSbOs2 (meta-GGA SCAN, PBEsol geometry)
# **Formation energy from raw total energies**: 0.505 eV per atom
# **Total magnetic moment**: 0.000 μB/f.u.
# **Uncorrected energy**: -212.39 eV per formula unit
# **Energy above the lowest structure with this stoichiometry**: 0.0 kJ/mol of atoms
data_InSbOs2
_space_group_name_H-M_alt 'P 4/m m m'
_space_group_IT_number 123
_space_group_name_Hall '-P 4 2'
_cell_length_a 3.202
_cell_length_b 3.202
_cell_length_c 6.477
_cell_angle_alpha 90.00
_cell_angle_beta 90.00
_cell_angle_gamma 90.00
loop_
_atom_site_label
_atom_site_fract_x
_atom_site_fract_y
_atom_site_fract_z
_atom_site_occupancy
In1 0.000 0.000 0.000 1
Sb1 0.000 0.000 0.500 1
Os1 0.500 0.500 0.259 1


# In2SbOs (meta-GGA SCAN, PBEsol geometry)
# **Formation energy from raw total energies**: 0.221 eV per atom
# **Total magnetic moment**: 0.000 μB/f.u.
# **Uncorrected energy**: -175.03 eV per formula unit
data_In2SbOs
_space_group_name_H-M_alt 'P 4 m m'
_space_group_IT_number 99
_cell_length_a 3.167
_cell_length_b 3.167
_cell_length_c 8.515
_cell_angle_alpha 90.00
_cell_angle_beta 90.00
_cell_angle_gamma 90.00
loop_
_space_group_symop_operation_xyz
'x,y,z'
'-y,x,z'
'-x,-y,z'
'y,-x,z'
'-x,y,z'
'y,x,z'
'x,-y,z'
'-y,-x,z'
loop_
_atom_site_label
_atom_site_fract_x
_atom_site_fract_y
_atom_site_fract_z
_atom_site_occupancy
In1 0.000 0.000 0.000 1
In2 0.500 0.500 0.284 1
Sb1 0.500 0.500 0.677 1
Os1 0.000 0.000 0.496 1


# In2SbOs (meta-GGA SCAN, PBEsol geometry)
# **Formation energy from raw total energies**: 0.360 eV per atom
# **Total magnetic moment**: 0.000 μB/f.u.
# **Uncorrected energy**: -174.47 eV per formula unit
data_In2SbOs
_space_group_name_H-M_alt 'R 3 m'
_space_group_IT_number 160
_space_group_name_Hall 'R 3 -2"'
_cell_length_a 3.1653
_cell_length_b 3.1653
_cell_length_c 29.9850
_cell_angle_alpha 90.00
_cell_angle_beta 90.00
_cell_angle_gamma 120.00
loop_
_atom_site_label
_atom_site_fract_x
_atom_site_fract_y
_atom_site_fract_z
_atom_site_occupancy
In1 0.0000 0.0000 0.0000 1
In2 0.0000 0.0000 0.2408 1
Sb1 0.0000 0.0000 0.7712 1
Os1 0.0000 0.0000 0.5027 1


# InSbOs2 (meta-GGA SCAN, PBEsol geometry)
# **Formation energy from raw total energies**: 0.942 eV per atom
# **Total magnetic moment**: 0.000 μB/f.u.
# **Uncorrected energy**: -210.64 eV per formula unit
# **Energy above the lowest structure with this stoichiometry**: 42.2 kJ/mol of atoms
data_InSbOs2
_space_group_name_H-M_alt 'P m m m'
_space_group_IT_number 47
_cell_length_a 3.154
_cell_length_b 4.333
_cell_length_c 5.123
_cell_angle_alpha 90.00
_cell_angle_beta 90.00
_cell_angle_gamma 90.00
loop_
_space_group_symop_operation_xyz
'x,y,z'
'-x,-y,-z'
'-x,-y,z'
'x,y,-z'
'x,-y,-z'
'-x,y,z'
'-x,y,-z'
'x,-y,z'
loop_
_atom_site_label
_atom_site_fract_x
_atom_site_fract_y
_atom_site_fract_z
_atom_site_occupancy
In1 0.000 0.000 0.000 1
Sb1 0.500 0.000 0.500 1
Os1 0.000 0.500 0.500 1
Os2 0.500 0.500 0.000 1


# InSb3Os (meta-GGA SCAN, PBEsol geometry)
# **Formation energy from raw total energies**: 2.002 eV per atom
# **Total magnetic moment**: 2.178 μB/f.u.
# **Uncorrected energy**: -207.04 eV per formula unit
data_InSb3Os
_space_group_name_H-M_alt 'P m -3 m'
_space_group_IT_number 221
_space_group_name_Hall '-P 4 2 3'
_cell_length_a 5.324
_cell_length_b 5.324
_cell_length_c 5.324
_cell_angle_alpha 90.00
_cell_angle_beta 90.00
_cell_angle_gamma 90.00
loop_
_atom_site_label
_atom_site_fract_x
_atom_site_fract_y
_atom_site_fract_z
_atom_site_occupancy
In1 0.000 0.000 0.000 1
Sb1 0.000 0.000 0.500 1
Os1 0.500 0.500 0.500 1


# InSbOs2 (meta-GGA SCAN, PBEsol geometry)
# **Formation energy from raw total energies**: 0.601 eV per atom
# **Total magnetic moment**: 0.000 μB/f.u.
# **Uncorrected energy**: -212.00 eV per formula unit
# **Energy above the lowest structure with this stoichiometry**: 9.2 kJ/mol of atoms
data_InSbOs2
_space_group_name_H-M_alt 'C 1 2/m 1'
_space_group_IT_number 12
_cell_length_a 8.634
_cell_length_b 3.033
_cell_length_c 5.371
_cell_angle_alpha 90.00
_cell_angle_beta 101.14
_cell_angle_gamma 90.00
loop_
_space_group_symop_operation_xyz
'x,y,z'
'-x,-y,-z'
'-x,y,-z'
'x,-y,z'
'x+1/2,y+1/2,z'
'-x+1/2,-y+1/2,-z'
'-x+1/2,y+1/2,-z'
'x+1/2,-y+1/2,z'
loop_
_atom_site_label
_atom_site_fract_x
_atom_site_fract_y
_atom_site_fract_z
_atom_site_occupancy
In1 0.000 0.000 0.000 1
Sb1 0.000 0.500 0.500 1
Os1 0.249 0.500 0.277 1


# InSnSb2Os (meta-GGA SCAN, PBEsol geometry)
# **Formation energy from raw total energies**: 1.936 eV per atom
# **Total magnetic moment**: 2.313 μB/f.u.
# **Uncorrected energy**: -206.03 eV per formula unit
data_InSnSb2Os
_space_group_name_H-M_alt 'P 4/m m m'
_space_group_IT_number 123
_space_group_name_Hall '-P 4 2'
_cell_length_a 5.360
_cell_length_b 5.360
_cell_length_c 5.267
_cell_angle_alpha 90.00
_cell_angle_beta 90.00
_cell_angle_gamma 90.00
loop_
_atom_site_label
_atom_site_fract_x
_atom_site_fract_y
_atom_site_fract_z
_atom_site_occupancy
In1 0.000 0.000 0.000 1
Sn1 0.000 0.000 0.500 1
Sb1 0.000 0.500 0.000 1
Os1 0.500 0.500 0.500 1


# TiInSbOs2 (meta-GGA SCAN, PBEsol geometry)
# **Formation energy from raw total energies**: 2.287 eV per atom
# **Total magnetic moment**: 0.986 μB/f.u.
# **Uncorrected energy**: -219.00 eV per formula unit
data_TiInSbOs2
_space_group_name_H-M_alt 'P 4/m m m'
_space_group_IT_number 123
_space_group_name_Hall '-P 4 2'
_cell_length_a 4.800
_cell_length_b 4.800
_cell_length_c 5.096
_cell_angle_alpha 90.00
_cell_angle_beta 90.00
_cell_angle_gamma 90.00
loop_
_atom_site_label
_atom_site_fract_x
_atom_site_fract_y
_atom_site_fract_z
_atom_site_occupancy
Ti1 0.000 0.000 0.000 1
In1 0.500 0.500 0.500 1
Sb1 0.500 0.500 0.000 1
Os1 0.000 0.500 0.500 1


What is the total magnetic moment in the first record?
0.000 μB/f.u.